Record 1
Compound: La2MgAs
Source: the Alexandria database
Functional: PBE
Structure: relaxed

Unit cell a=3.968 b=5.076 c=10.921 alpha=90.00 beta=90.00 gamma=90.00
Sites, in units of the cell vectors:
La (0.000, 0.000, 0.000)
La (0.000, 0.500, 0.220)
La (0.500, 0.000, 0.720)
La (0.500, 0.500, 0.500)
Mg (0.000, 0.500, 0.795)
Mg (0.500, 0.000, 0.295)
As (0.000, 0.000, 0.481)
As (0.500, 0.500, 0.981)

Values from the calculation:
The calculation puts the density of states at the Fermi level at 0.65 states/eV per atom.

Record 2
Compound: Re5Tc4
Source: the Alexandria database
Functional: PBE
Structure: relaxed

Unit cell a=7.532 b=7.532 c=5.494 alpha=90.00 beta=90.00 gamma=120.00
Sites, in units of the cell vectors:
Re (0.000, 0.334, 0.250)
Re (0.000, 0.666, 0.750)
Re (0.333, 0.667, 0.000)
Re (0.333, 0.667, 0.500)
Re (0.334, 0.000, 0.250)
Re (0.334, 0.334, 0.750)
Re (0.666, 0.000, 0.750)
Re (0.666, 0.666, 0.250)
Re (0.667, 0.333, 0.000)
Re (0.667, 0.333, 0.500)
Tc (0.000, 0.000, 0.000)
Tc (0.000, 0.000, 0.500)
Tc (0.000, 0.333, 0.750)
Tc (0.000, 0.667, 0.250)
Tc (0.333, 0.000, 0.750)
Tc (0.333, 0.333, 0.250)
Tc (0.667, 0.000, 0.250)
Tc (0.667, 0.667, 0.750)

Values from the calculation:
The calculation puts the density of states at the Fermi level at 0.89 states/eV per atom.

Excess energy over the best structure of this formula in the dataset readings, ordered: 94 71 meV/atom
ΔH_f (0 K) readings, ordered: -605.0 135.3 meV per atom